Run 1
# Li2Al2Zn | Alexandria | PBE-GGA | optimized geometry
# Size of the total moment = 0.0 Bohr magnetons per cell
# V = 172.7 Å³/cell
data_Li2Al2Zn
_chemical_formula_sum 'Li4 Al4 Zn2'
_cell_length_a 6.743
_cell_length_b 6.743
_cell_length_c 3.798
_cell_angle_alpha 90.00
_cell_angle_beta 90.00
_cell_angle_gamma 90.00
_space_group_name_H-M_alt 'P 4/m b m'
_space_group_IT_number 127
_space_group_name_Hall '-P 4 2ab'
loop_
_atom_site_label
_atom_site_fract_x
_atom_site_fract_y
_atom_site_fract_z
Li1 0.159 0.341 0.000
Al1 0.139 0.639 0.500
Zn1 0.000 0.000 0.500

---

Run 2
# Li2Al2Zn | Alexandria | PBE-GGA | optimized geometry
# Size of the total moment = 0.0 Bohr magnetons per cell
# V = 155.1 Å³/cell
data_Li2Al2Zn
_chemical_formula_sum 'Li4 Al4 Zn2'
_cell_length_a 4.918
_cell_length_b 5.337
_cell_length_c 7.197
_cell_angle_alpha 109.82
_cell_angle_beta 90.10
_cell_angle_gamma 117.33
_space_group_name_H-M_alt 'P -1'
_space_group_IT_number 2
_space_group_name_Hall '-P 1'
loop_
_atom_site_label
_atom_site_fract_x
_atom_site_fract_y
_atom_site_fract_z
Li1 0.068 0.312 0.056
Li2 0.255 0.687 0.444
Al1 0.134 0.089 0.346
Al2 0.454 0.087 0.844
Zn1 0.350 0.500 0.750

---

Most stable: run 2. Least stable: run 1.

---

Run 1
# Li2AlZn8 | Alexandria | PBE-GGA | optimized geometry
# Size of the total moment = 0.0 Bohr magnetons per cell
# V = 353.0 Å³/cell
data_Li2AlZn8
_chemical_formula_sum 'Li4 Al2 Zn16'
_cell_length_a 4.073
_cell_length_b 8.206
_cell_length_c 10.563
_cell_angle_alpha 90.00
_cell_angle_beta 90.00
_cell_angle_gamma 90.00
_space_group_name_H-M_alt 'I m m m'
_space_group_IT_number 71
_space_group_name_Hall '-I 2 2'
loop_
_atom_site_label
_atom_site_fract_x
_atom_site_fract_y
_atom_site_fract_z
Li1 0.000 0.000 0.139
Al1 0.000 0.000 0.500
Zn1 0.000 0.256 0.339
Zn2 0.000 0.278 0.000
Zn3 0.000 0.500 0.188

---

Run 2
# Li2AlZn8 | Alexandria | PBE-GGA | optimized geometry
# Size of the total moment = 0.0 Bohr magnetons per cell
# V = 171.2 Å³/cell
data_Li2AlZn8
_chemical_formula_sum 'Li2 Al1 Zn8'
_cell_length_a 4.201
_cell_length_b 4.201
_cell_length_c 9.702
_cell_angle_alpha 90.00
_cell_angle_beta 90.00
_cell_angle_gamma 90.00
_space_group_name_H-M_alt 'P 4/m m m'
_space_group_IT_number 123
_space_group_name_Hall '-P 4 2'
loop_
_atom_site_label
_atom_site_fract_x
_atom_site_fract_y
_atom_site_fract_z
Li1 0.000 0.000 0.176
Al1 0.000 0.000 0.500
Zn1 0.000 0.500 0.000
Zn2 0.000 0.500 0.344
Zn3 0.500 0.500 0.171

---

Most stable: run 2. Least stable: run 1.

---

Run 1
# Li2AlZn5 | Alexandria | PBE-GGA | optimized geometry
# Size of the total moment = 0.0 Bohr magnetons per cell
# V = 238.0 Å³/cell
data_Li2AlZn5
_chemical_formula_sum 'Li4 Al2 Zn10'
_cell_length_a 5.553
_cell_length_b 5.553
_cell_length_c 7.718
_cell_angle_alpha 90.00
_cell_angle_beta 90.00
_cell_angle_gamma 90.00
_space_group_name_H-M_alt 'I 4/m m m'
_space_group_IT_number 139
_space_group_name_Hall '-I 4 2'
loop_
_atom_site_label
_atom_site_fract_x
_atom_site_fract_y
_atom_site_fract_z
Li1 0.000 0.500 0.000
Al1 0.000 0.000 0.000
Zn1 0.000 0.000 0.500
Zn2 0.250 0.250 0.250

---

Run 2
# Li2AlZn5 | Alexandria | PBE-GGA | optimized geometry
# Size of the total moment = 0.0 Bohr magnetons per cell
# V = 242.3 Å³/cell
data_Li2AlZn5
_chemical_formula_sum 'Li4 Al2 Zn10'
_cell_length_a 4.048
_cell_length_b 4.048
_cell_length_c 14.788
_cell_angle_alpha 90.00
_cell_angle_beta 90.00
_cell_angle_gamma 90.00
_space_group_name_H-M_alt 'I 4/m m m'
_space_group_IT_number 139
_space_group_name_Hall '-I 4 2'
loop_
_atom_site_label
_atom_site_fract_x
_atom_site_fract_y
_atom_site_fract_z
Li1 0.000 0.000 0.249
Al1 0.000 0.000 0.000
Zn1 0.000 0.000 0.500
Zn2 0.000 0.500 0.126

---

Most stable: run 1. Least stable: run 2.